First-principles (PBE) data for crystalline KMnSe2 at its relaxed geometry, as listed in the Alexandria database.

abc: 7.111 7.111 8.715
angles: 90.00 90.00 90.00
Sites, in units of the cell vectors:
K  0.000  0.000  0.000
K  0.000  0.500  0.250
K  0.500  0.000  0.750
K  0.500  0.500  0.500
Mn  0.000  0.000  0.500
Mn  0.000  0.500  0.750
Mn  0.500  0.000  0.250
Mn  0.500  0.500  0.000
Se  0.131  0.250  0.625
Se  0.250  0.631  0.875
Se  0.250  0.869  0.375
Se  0.369  0.250  0.125
Se  0.631  0.750  0.125
Se  0.750  0.131  0.375
Se  0.750  0.369  0.875
Se  0.869  0.750  0.625

formation energy (no corrections)	-0.506	eV/atom
calculated density	3.80	g cm⁻³
total magnetization	0.00	μB per cell
space group	I-42d (122)